# 1
# ReAgN2F

Crystalline ReAgN2F at its relaxed geometry (GGA-PBE, Alexandria).

E_form (uncorrected) in meV/atom: 1991
Excess energy over the best structure of this formula in the dataset in meV per atom: 1100
Symmetry: No. 123

```
ReAgN2F
1.0
4.1131 0.0000 0.0000
0.0000 4.1131 0.0000
0.0000 0.0000 4.0141
Re N Ag F
1 2 1 1
Cartesian
2.0565 2.0565 2.0071 Re
0.0000 2.0565 0.0000 N
2.0565 0.0000 0.0000 N
0.0000 0.0000 0.0000 Ag
0.0000 0.0000 2.0071 F
```

---

# 2
# CaAcLa2Pd4

Crystalline CaAcLa2Pd4 at its relaxed geometry (GGA-PBE, Alexandria).

Symmetry: No. 42
ΔE_f in eV per atom: -0.70

```
CaAcLa2Pd4
1.0
6.0438 0.3311 0.0000
-0.3273 6.0441 0.0000
-2.8583 -3.1876 6.0501
Ca Ac La Pd
1 1 2 4
Cartesian
2.5079 2.7968 0.0000 Ca
5.3557 5.9728 0.0000 Ac
-0.5268 2.6170 3.0250 La
2.6587 -0.2395 3.0250 La
5.5323 2.9508 0.0000 Pd
2.3324 5.8201 0.0000 Pd
-0.3629 -0.4047 3.0748 Pd
2.4954 2.7829 2.9752 Pd
```

---

# 3
# BaLiTcN2

Crystalline BaLiTcN2 at its relaxed geometry (GGA-PBE, Alexandria).

E_form (uncorrected) in meV/atom: -324
Symmetry: No. 67

```
BaLiTcN2
1.0
-0.8322 5.0446 -0.1392
-3.3703 -3.2717 -4.4537
-3.8124 -0.5384 3.2806
Ba Li Tc N
2 2 2 4
Cartesian
-5.1598 1.7450 0.1217 Ba
-2.8551 -0.5105 -1.4339 Ba
-1.9062 -0.2692 1.6403 Li
-2.3223 2.2531 1.5707 Li
-0.6241 3.7834 -0.1044 Tc
-0.2080 1.2611 -0.0348 Tc
-4.1780 1.8208 -3.0016 N
-1.9607 2.2597 -0.3528 N
-6.0543 -1.0252 -0.9595 N
-3.8369 -0.5864 1.6894 N
```

---

# 4
# Li2HgPt

Crystalline Li2HgPt at its relaxed geometry (GGA-PBE, Alexandria).

Symmetry: No. 123
ΔE_f in eV per atom: -0.45

```
Li2HgPt
1.0
4.0408 0.0000 0.0000
0.0000 4.0424 0.0000
0.0000 0.0000 3.7832
Hg Pt Li
1 1 2
Cartesian
0.0000 2.0212 1.8916 Hg
2.0204 0.0000 1.8916 Pt
0.0000 0.0000 0.0000 Li
2.0204 2.0212 0.0000 Li
```

---

# 5
# Ce6CoIr2Br3

Crystalline Ce6CoIr2Br3 at its relaxed geometry (GGA-PBE, Alexandria).

E_form (uncorrected) in meV/atom: -939
Symmetry: No. 12

```
Ce6CoIr2Br3
1.0
-6.0734 0.9281 3.4204
3.9244 -5.6911 1.2872
4.4015 5.3759 3.9473
Ce Co Ir Br
6 1 2 3
Cartesian
0.2655 1.7156 7.1649 Ce
-0.7341 -2.4819 4.2609 Ce
1.9869 -1.1028 1.4901 Ce
3.4991 -0.4252 6.4749 Ce
2.9865 3.0948 4.3941 Ce
-1.2466 1.0381 2.1800 Ce
0.0000 0.0000 0.0000 Co
0.5916 -3.4846 1.9983 Ir
-2.7407 -1.2784 2.7093 Ir
4.4549 -1.8974 3.6173 Br
-2.2024 2.5102 5.0377 Br
1.1262 0.3064 4.3275 Br
```

---

# 6
# TbPrS2O

Crystalline TbPrS2O at its relaxed geometry (GGA-PBE, Alexandria).

E_form (uncorrected) in meV/atom: -2479
Symmetry: No. 129

```
TbPrS2O
1.0
3.9723 0.0000 0.0000
0.0000 3.9723 0.0000
0.0000 0.0000 14.0766
Tb Pr S O
2 2 4 2
Cartesian
1.9861 0.0000 1.7078 Tb
0.0000 1.9861 12.3688 Tb
1.9861 0.0000 8.2918 Pr
0.0000 1.9861 5.7847 Pr
0.0000 1.9861 9.8590 S
0.0000 1.9861 1.2751 S
1.9861 0.0000 12.8015 S
1.9861 0.0000 4.2176 S
0.0000 0.0000 7.0383 O
1.9861 1.9861 7.0383 O
```

---

Going through the records in order, we get D(E_F) values of 2.5, 5.1, 3.1, 0.9, 33.3, 0.7 states/eV/f.u..